No. 1
DFT (GGA-PBE) results for a relaxed structure of ZnRe2Hg.

Values from the calculation:
* magnetization: 0.00 μB per formula unit
* E_form: 0.68 eV per atom
* symmetry: No. 44
* relative energy among the computed polymorphs: 422 meV/atom

Cell: 5.204 5.204 5.204 Å, 144.06 126.86 65.83°
Element x y z (fractional)
Zn 0.000 0.000 0.000
Re 0.527 0.527 0.000
Re 0.751 0.251 0.500
Hg 0.254 0.754 0.500


No. 2
DFT (GGA-PBE) results for a relaxed structure of GaTeSe2.

Values from the calculation:
* magnetization: 0.00 μB per formula unit
* symmetry: No. 1
* relative energy among the computed polymorphs: 60 meV/atom

Cell: 3.634 8.238 9.406 Å, 103.42 100.97 102.71°
Element x y z (fractional)
Ga 0.000 0.000 0.000
Ga 0.146 0.620 0.666
Te 0.070 0.353 0.771
Te 0.301 0.238 0.369
Se 0.058 0.899 0.220
Se 0.217 0.318 0.116
Se 0.377 0.934 0.818
Se 0.562 0.623 0.492


No. 3
DFT (GGA-PBE) results for a relaxed structure of Y2Ni4P3Ru.

Values from the calculation:
* magnetization: 0.00 μB per formula unit
* E_form: -0.78 eV per atom
* symmetry: No. 115

Cell: 3.833 3.833 9.937 Å, 90.00 90.00 90.00°
Element x y z (fractional)
Y 0.000 0.500 0.242
Y 0.500 0.000 0.758
Ni 0.000 0.000 0.000
Ni 0.000 0.500 0.650
Ni 0.500 0.000 0.350
Ni 0.500 0.500 0.000
P 0.000 0.500 0.873
P 0.500 0.000 0.127
P 0.500 0.500 0.500
Ru 0.000 0.000 0.500


No. 4
DFT (GGA-PBE) results for a relaxed structure of HgIrSe2.

Values from the calculation:
* magnetization: 0.00 μB per formula unit
* symmetry: No. 47
* VASP energy: -13.30 eV per cell

Cell: 3.320 4.650 4.912 Å, 90.00 90.00 90.00°
Element x y z (fractional)
Hg 0.000 0.000 0.000
Ir 0.500 0.500 0.000
Se 0.000 0.500 0.500
Se 0.500 0.000 0.500


No. 5
DFT (GGA-PBE) results for a relaxed structure of BeNiW.

Values from the calculation:
* magnetization: 0.00 μB per formula unit
* E_form: -0.02 eV per atom
* symmetry: No. 2
* relative energy among the computed polymorphs: 226 meV/atom

Cell: 3.955 4.753 4.764 Å, 94.65 114.49 114.50°
Element x y z (fractional)
Be 0.002 0.165 0.338
Be 0.998 0.835 0.662
Ni 0.495 0.324 0.167
Ni 0.505 0.676 0.833
W 0.253 0.752 0.254
W 0.747 0.248 0.746


No. 6
DFT (GGA-PBE) results for a relaxed structure of ReRh2F.

Values from the calculation:
* magnetization: 0.00 μB per formula unit
* symmetry: No. 122
* relative energy among the computed polymorphs: 131 meV/atom

Cell: 5.380 5.380 5.380 Å, 106.17 106.17 116.30°
Element x y z (fractional)
Re 0.000 0.000 0.000
Re 0.750 0.250 0.500
Rh 0.132 0.125 0.507
Rh 0.375 0.868 0.993
Rh 0.618 0.625 0.493
Rh 0.875 0.382 0.007
F 0.250 0.750 0.500
F 0.500 0.500 0.000